[1]
First-principles (PBE-GGA) data for a geometry-optimized LuPaGeAu structure, as listed in Alexandria via LeMat-Bulk.

Lattice parameters (Å, degrees): 7.135 7.135 7.135 90.00 90.00 90.00
Space group F-43m (No. 216)
Inequivalent atoms, fractional coordinates:
Lu 0.000 0.000 0.000 x4
Pa 0.000 0.000 0.500 x4
Ge 0.250 0.250 0.250 x4
Au 0.250 0.250 0.750 x4

Properties
Theoretical density (kg/m³): 12355
Calculated formation energy (eV/atom): -0.42

=====

[2]
First-principles (PBE-GGA) data for a geometry-optimized PmLuGeAu structure, as listed in Alexandria via LeMat-Bulk.

Lattice parameters (Å, degrees): 7.215 7.215 7.215 90.00 90.00 90.00
Space group F-43m (No. 216)
Inequivalent atoms, fractional coordinates:
Pm 0.000 0.000 0.000 x4
Lu 0.000 0.000 0.500 x4
Ge 0.250 0.250 0.250 x4
Au 0.250 0.250 0.750 x4

Properties
Theoretical density (kg/m³): 10428
Calculated formation energy (eV/atom): -0.72

=====

[3]
First-principles (PBE-GGA) data for a geometry-optimized PrLuGeAu structure, as listed in Alexandria via LeMat-Bulk.

Lattice parameters (Å, degrees): 7.275 7.275 7.275 90.00 90.00 90.00
Space group F-43m (No. 216)
Inequivalent atoms, fractional coordinates:
Pr 0.000 0.000 0.000 x4
Lu 0.000 0.000 0.500 x4
Ge 0.250 0.250 0.250 x4
Au 0.250 0.250 0.750 x4

Properties
Theoretical density (kg/m³): 10100
Calculated formation energy (eV/atom): -0.69

=====

[4]
First-principles (PBE-GGA) data for a geometry-optimized LuPuGeAu structure, as listed in Alexandria via LeMat-Bulk.

Lattice parameters (Å, degrees): 7.156 7.156 7.156 90.00 90.00 90.00
Space group F-43m (No. 216)
Inequivalent atoms, fractional coordinates:
Lu 0.000 0.000 0.000 x4
Pu 0.000 0.000 0.500 x4
Ge 0.250 0.250 0.250 x4
Au 0.250 0.250 0.750 x4

Properties
Theoretical density (kg/m³): 12480
Calculated formation energy (eV/atom): -0.57

=====

[5]
First-principles (PBE-GGA) data for a geometry-optimized LuScGeAu structure, as listed in Alexandria via LeMat-Bulk.

Lattice parameters (Å, degrees): 6.914 6.914 6.914 90.00 90.00 90.00
Space group F-43m (No. 216)
Inequivalent atoms, fractional coordinates:
Lu 0.000 0.000 0.000 x4
Sc 0.000 0.000 0.500 x4
Ge 0.250 0.250 0.750 x4
Au 0.250 0.250 0.250 x4

Properties
Theoretical density (kg/m³): 9836
Calculated formation energy (eV/atom): -0.72

=====

[6]
First-principles (PBE-GGA) data for a geometry-optimized SrLuGeAu structure, as listed in Alexandria via LeMat-Bulk.

Lattice parameters (Å, degrees): 7.346 7.346 7.346 90.00 90.00 90.00
Space group F-43m (No. 216)
Inequivalent atoms, fractional coordinates:
Sr 0.000 0.000 0.000 x4
Lu 0.000 0.000 0.500 x4
Ge 0.250 0.250 0.750 x4
Au 0.250 0.250 0.250 x4

Properties
Theoretical density (kg/m³): 8916
Calculated formation energy (eV/atom): -0.64

=====

[7]
First-principles (PBE-GGA) data for a geometry-optimized TbLuGeAu structure, as listed in Alexandria via LeMat-Bulk.

Lattice parameters (Å, degrees): 7.131 7.131 7.131 90.00 90.00 90.00
Space group F-43m (No. 216)
Inequivalent atoms, fractional coordinates:
Tb 0.000 0.000 0.000 x4
Lu 0.000 0.000 0.500 x4
Ge 0.250 0.250 0.250 x4
Au 0.250 0.250 0.750 x4

Properties
Theoretical density (kg/m³): 11055
Calculated formation energy (eV/atom): -0.74

=====

[8]
First-principles (PBE-GGA) data for a geometry-optimized YLuGeAu structure, as listed in Alexandria via LeMat-Bulk.

Lattice parameters (Å, degrees): 7.124 7.124 7.124 90.00 90.00 90.00
Space group F-43m (No. 216)
Inequivalent atoms, fractional coordinates:
Y 0.000 0.000 0.000 x4
Lu 0.000 0.000 0.500 x4
Ge 0.250 0.250 0.750 x4
Au 0.250 0.250 0.250 x4

Properties
Theoretical density (kg/m³): 9802
Calculated formation energy (eV/atom): -0.74